Entry 1:
# HfNi2B

Crystalline HfNi2B at its relaxed geometry (PBE-GGA, the Alexandria database).

The space group is I-42d (No. 122) and the conventional cell measures 3.604, 3.604 and 15.864 Å, with angles of 90.00, 90.00 and 90.00 degrees. The distinct sites, in fractional coordinates, are Hf at (0.000, 0.000, 0.000), Ni at (0.189, 0.250, 0.625) and B at (0.000, 0.000, 0.500).

The value obtained for the calculated total energy is -7.0154 eV/atom. The density of states at the Fermi level is 0.886 states/eV per atom. The value obtained for the formation energy is 0.03 eV/atom.

---

Entry 2:
# Y2PdN

Crystalline Y2PdN at its relaxed geometry (PBE-GGA, the Alexandria database).

The space group is R-3m (No. 166, hexagonal axes) and the conventional cell measures 3.3977, 3.3977 and 24.1986 Å, with angles of 90.00, 90.00 and 120.00 degrees. The distinct sites, in fractional coordinates, are Y at (0.0000, 0.0000, 0.1104), Pd at (0.0000, 0.0000, 0.0000) and N at (0.0000, 0.0000, 0.5000).

The value obtained for the calculated total energy is -7.3542 eV/atom. The density of states at the Fermi level is 0.683 states/eV per atom. The uncorrected formation energy is -0.743 eV per atom.

---

Entry 3:
# LiGa2Pb2

Crystalline LiGa2Pb2 at its relaxed geometry (PBE-GGA, the Alexandria database).

The space group is I4/mmm (No. 139) and the conventional cell measures 3.782, 3.782 and 17.223 Å, with angles of 90.00, 90.00 and 90.00 degrees. The distinct sites, in fractional coordinates, are Li at (0.000, 0.000, 0.000), Ga at (0.000, 0.500, 0.250) and Pb at (0.000, 0.000, 0.398).

The value obtained for the calculated total energy is -3.0826 eV/atom. The density of states at the Fermi level is 0.459 states/eV per atom. The value obtained for the formation energy is -0.01 eV/atom. The value obtained for the energy above the most stable polymorph in this dataset is 16 meV/atom.